(1)
A geometry-optimized CsCe2Br6 structure, computed with PBE.

Summary:
Total magnetic moment (Bohr magnetons per cell): 3.00

Lattice parameters (Å, degrees): 7.6896 7.6896 8.1254 90.00 90.00 120.00
Space group P-31m (No. 162)
Inequivalent atoms, fractional coordinates:
Cs1 0.0000 0.0000 0.0000
Ce1 0.3333 0.6667 0.5000
Br1 0.0000 0.3729 0.7160



(2)
A geometry-optimized Cs5Ce2Br12 structure, computed with PBE.

Summary:
Total magnetic moment (Bohr magnetons per cell): 2.05

Lattice parameters (Å, degrees): 17.358 10.814 8.943 90.00 102.36 90.00
Space group C2/m (No. 12)
Inequivalent atoms, fractional coordinates:
Cs1 0.000 0.000 0.000
Cs2 0.134 0.500 0.014
Cs3 0.250 0.000 0.503
Ce1 0.000 0.248 0.500
Br1 0.033 0.500 0.336
Br2 0.073 0.000 0.654
Br3 0.102 0.205 0.283
Br4 0.149 0.297 0.713



(3)
A geometry-optimized CsCeBr4 structure, computed with PBE.

Summary:
ΔE to the lowest computed polymorph (eV/atom): 0.000
Total magnetic moment (Bohr magnetons per cell): 4.00

Lattice parameters (Å, degrees): 5.917 22.563 8.431 90.00 90.00 90.00
Space group Cmcm (No. 63)
Inequivalent atoms, fractional coordinates:
Cs1 0.000 0.177 0.250
Ce1 0.000 0.408 0.250
Br1 0.000 0.088 0.750
Br2 0.000 0.319 0.011
Br3 0.000 0.500 0.000



(4)
A geometry-optimized Cs2CeBr8 structure, computed with PBE.

Summary:
Total magnetic moment (Bohr magnetons per cell): 0.00

Lattice parameters (Å, degrees): 13.792 10.458 8.560 90.00 118.80 90.00
Space group C2/m (No. 12)
Inequivalent atoms, fractional coordinates:
Cs1 0.219 0.000 0.348
Ce1 0.000 0.500 0.000
Br1 0.076 0.313 0.266
Br2 0.085 0.000 0.641
Br3 0.207 0.500 0.007



(5)
A geometry-optimized CsCeBr5 structure, computed with PBE.

Summary:
ΔE to the lowest computed polymorph (eV/atom): 0.000
Total magnetic moment (Bohr magnetons per cell): 0.00

Lattice parameters (Å, degrees): 13.346 8.815 11.628 90.00 114.10 90.00
Space group C2/c (No. 15)
Inequivalent atoms, fractional coordinates:
Cs1 0.000 0.021 0.250
Ce1 0.000 0.500 0.000
Br1 0.000 0.458 0.250
Br2 0.107 0.223 0.031
Br3 0.195 0.350 0.610



(6)
A geometry-optimized CsCeBr3 structure, computed with PBE.

Summary:
ΔE to the lowest computed polymorph (eV/atom): 0.075
Total magnetic moment (Bohr magnetons per cell): 1.98

Lattice parameters (Å, degrees): 5.940 5.940 5.940 90.00 90.00 90.00
Space group Pm-3m (No. 221)
Inequivalent atoms, fractional coordinates:
Cs1 0.000 0.000 0.000
Ce1 0.500 0.500 0.500
Br1 0.000 0.500 0.500



| no. | formation energy from raw total energies (meV/atom) |
| --- | --- |
| 1 | -1781 |
| 2 | -1742 |
| 3 | -1821 |
| 4 | -1411 |
| 5 | -1654 |
| 6 | -1613 |